Record 1
Here is a relaxed ZrNb2Os crystal from OQMD via LeMat-Bulk. Energies are from PBE.

## Properties
The space group is No. 216. The formation energy is -0.20 eV per atom.

Cell lengths 4.6456, 4.6456, 4.6456 Å; angles 60.00, 60.00, 60.00 degrees
Sites, in units of the cell vectors:
Nb1 0.0000 0.0000 0.0000
Nb2 0.7500 0.7500 0.7500
Os1 0.2500 0.2500 0.2500
Zr1 0.5000 0.5000 0.5000

Record 2
Here is a relaxed Zr2Nb2Os3 crystal from OQMD via LeMat-Bulk. Energies are from PBE.

## Properties
The space group is No. 160. The formation energy is -0.23 eV per atom.

Cell lengths 7.7712, 7.7712, 7.7712 Å; angles 33.91, 33.91, 33.91 degrees
Sites, in units of the cell vectors:
Nb1 0.0022 0.0022 0.0022
Nb2 0.4967 0.4967 0.4967
Os1 0.3740 0.3740 0.3740
Os2 0.6261 0.6261 0.6261
Os3 0.8773 0.8773 0.8773
Zr1 0.2444 0.2444 0.2444
Zr2 0.7543 0.7543 0.7543

Record 3
Here is a relaxed ZrNbOs2 crystal from OQMD via LeMat-Bulk. Energies are from PBE.

## Properties
The space group is No. 216. The formation energy is -0.01 eV per atom.

Cell lengths 4.5486, 4.5486, 4.5486 Å; angles 60.00, 60.00, 60.00 degrees
Sites, in units of the cell vectors:
Nb1 0.5000 0.5000 0.5000
Os1 0.0000 0.0000 0.0000
Os2 0.7500 0.7500 0.7500
Zr1 0.2500 0.2500 0.2500

Record 4
Here is a relaxed NbP crystal from OQMD via LeMat-Bulk. Energies are from PBE.

## Properties
The space group is No. 216. The final energy is -7.798 eV/atom.

Cell lengths 3.9485, 3.9485, 3.9485 Å; angles 60.00, 60.00, 60.00 degrees
Sites, in units of the cell vectors:
Nb1 0.0000 0.0000 0.0000
P1 0.2500 0.2500 0.2500

Record 5
Here is a relaxed NbP2 crystal from OQMD via LeMat-Bulk. Energies are from PBE.

## Properties
The space group is No. 227. The final energy is -6.485 eV/atom.

Cell lengths 7.6532, 7.6532, 7.6532 Å; angles 60.00, 60.00, 60.00 degrees
Sites, in units of the cell vectors:
Nb1 0.2500 0.2500 0.2500
Nb2 0.5000 0.5000 0.5000
P1 0.3750 0.3750 0.3750
P2 0.8750 0.3750 0.3750
P3 0.3750 0.8750 0.3750
P4 0.3750 0.3750 0.8750

Record 6
Here is a relaxed NbP2 crystal from OQMD via LeMat-Bulk. Energies are from PBE.

## Properties
The space group is No. 227. The final energy is -6.611 eV/atom.

Cell lengths 5.0052, 5.0052, 5.0052 Å; angles 60.00, 60.00, 60.00 degrees
Sites, in units of the cell vectors:
Nb1 0.0000 0.0000 0.0000
Nb2 0.2500 0.2500 0.2500
P1 0.6250 0.6250 0.1250
P2 0.6250 0.1250 0.6250
P3 0.1250 0.6250 0.6250
P4 0.6250 0.6250 0.6250

Record 7
Here is a relaxed NbP2 crystal from OQMD via LeMat-Bulk. Energies are from PBE.

## Properties
The space group is No. 12. The final energy is -7.652 eV/atom.

Cell lengths 4.7466, 4.7466, 7.5621 Å; angles 117.07, 117.07, 40.50 degrees
Sites, in units of the cell vectors:
Nb1 0.8396 0.8396 0.2994
Nb2 0.1604 0.1604 0.7006
P1 0.1332 0.1332 0.0258
P2 0.5958 0.5958 0.3980
P3 0.4042 0.4042 0.6020
P4 0.8668 0.8668 0.9742

Record 8
Here is a relaxed NbP crystal from OQMD via LeMat-Bulk. Energies are from PBE.

## Properties
The space group is No. 187. The final energy is -8.731 eV/atom.

Cell lengths 3.3288, 3.3288, 3.3484 Å; angles 90.00, 90.00, 120.00 degrees
Sites, in units of the cell vectors:
Nb1 0.6667 0.3333 0.7500
P1 0.3333 0.6667 0.2500